A relaxed PaAl10Cr2 crystal. Source: the Alexandria database, functional PBE. Values from VASP.

Geometry as Quantum ESPRESSO input:
```
&SYSTEM
  ibrav = 0, nat = 26, ntyp = 3
/
ATOMIC_SPECIES
Al 26.98 Al.upf
Cr 52.00 Cr.upf
Pa 231.04 Pa.upf
CELL_PARAMETERS angstrom
-0.9871 6.1922 -2.7250
-0.7027 -3.6554 -5.7348
-8.9234 -0.7351 1.5619
ATOMIC_POSITIONS crystal
Al 0.2156 0.4758 0.7500
Al 0.5929 0.8665 0.2500
Al 0.2283 0.2283 0.5000
Al 0.1547 0.8453 0.5974
Al 0.1335 0.4071 0.2500
Al 0.4071 0.1335 0.7500
Al 0.8665 0.5929 0.7500
Al 0.3740 0.6260 0.0426
Al 0.1547 0.8453 0.9026
Al 0.7844 0.5242 0.2500
Al 0.6260 0.3740 0.9574
Al 0.3740 0.6260 0.4574
Al 0.6260 0.3740 0.5426
Al 0.7717 0.7717 0.0000
Al 0.5242 0.7844 0.7500
Al 0.7717 0.7717 0.5000
Al 0.8453 0.1547 0.4026
Al 0.4758 0.2156 0.2500
Al 0.2283 0.2283 0.0000
Al 0.8453 0.1547 0.0974
Cr 0.0000 0.5000 0.5000
Cr 0.0000 0.5000 0.0000
Cr 0.5000 0.0000 0.0000
Cr 0.5000 0.0000 0.5000
Pa 0.1296 0.8704 0.2500
Pa 0.8704 0.1296 0.7500
```

Output
**DFT formation energy**: -0.1897 eV per atom
**SG**: Cmcm
**Density of states at the Fermi level**: 0.784 states/eV per atom

A relaxed PaAlCr2 crystal. Source: the Alexandria database, functional PBE. Values from VASP.

Geometry as Quantum ESPRESSO input:
```
&SYSTEM
  ibrav = 0, nat = 4, ntyp = 3
/
ATOMIC_SPECIES
Cr 52.00 Cr.upf
Pa 231.04 Pa.upf
Al 26.98 Al.upf
CELL_PARAMETERS angstrom
4.4391 0.0000 0.0000
2.2196 3.8444 0.0000
2.2196 1.2815 3.6245
ATOMIC_POSITIONS crystal
Cr 0.2500 0.2500 0.2500
Cr 0.7500 0.7500 0.7500
Pa 0.5000 0.5000 0.5000
Al 0.0000 0.0000 0.0000
```

Output
**DFT formation energy**: -0.0019 eV per atom
**SG**: Fm-3m
**Density of states at the Fermi level**: 1.110 states/eV per atom
**Polymorph energy (0 for the lowest one)**: 0.0 meV/atom

A relaxed PaAlCr crystal. Source: the Alexandria database, functional PBE. Values from VASP.

Geometry as Quantum ESPRESSO input:
```
&SYSTEM
  ibrav = 0, nat = 3, ntyp = 3
/
ATOMIC_SPECIES
Pa 231.04 Pa.upf
Al 26.98 Al.upf
Cr 52.00 Cr.upf
CELL_PARAMETERS angstrom
3.0355 0.0000 0.0000
0.0000 3.0355 0.0000
-1.5177 -1.5177 5.8978
ATOMIC_POSITIONS crystal
Pa 0.3211 0.3211 0.6421
Al 0.0251 0.0251 0.0501
Cr 0.6539 0.6539 0.3078
```

Output
**DFT formation energy**: 0.0052 eV per atom
**SG**: I4mm
**Density of states at the Fermi level**: 0.772 states/eV per atom
**Polymorph energy (0 for the lowest one)**: 170.3 meV/atom

A relaxed PaAl2Cr crystal. Source: the Alexandria database, functional PBE. Values from VASP.

Geometry as Quantum ESPRESSO input:
```
&SYSTEM
  ibrav = 0, nat = 4, ntyp = 3
/
ATOMIC_SPECIES
Al 26.98 Al.upf
Cr 52.00 Cr.upf
Pa 231.04 Pa.upf
CELL_PARAMETERS angstrom
-0.7032 -1.3037 -2.6533
2.8969 -0.8478 -0.3512
-1.4734 -6.5248 3.5965
ATOMIC_POSITIONS crystal
Al 0.0000 0.0000 0.8020
Al 0.0000 0.0000 0.1980
Cr 0.5000 0.5000 0.0000
Pa 0.5000 0.5000 0.5000
```

Output
**DFT formation energy**: -0.0848 eV per atom
**SG**: P4/mmm
**Density of states at the Fermi level**: 1.190 states/eV per atom

A relaxed PuPaAlCr crystal. Source: the Alexandria database, functional PBE. Values from VASP.

Geometry as Quantum ESPRESSO input:
```
&SYSTEM
  ibrav = 0, nat = 4, ntyp = 4
/
ATOMIC_SPECIES
Cr 52.00 Cr.upf
Pu 244.00 Pu.upf
Pa 231.04 Pa.upf
Al 26.98 Al.upf
CELL_PARAMETERS angstrom
-2.8773 0.8576 3.7027
-3.5266 -3.0370 1.0316
0.2644 -2.7220 3.9045
ATOMIC_POSITIONS crystal
Cr 0.0000 0.0000 0.0000
Pu 0.5000 0.5000 0.5000
Pa 0.7500 0.7500 0.7500
Al 0.2500 0.2500 0.2500
```

Output
**DFT formation energy**: -0.0484 eV per atom
**SG**: F-43m
**Density of states at the Fermi level**: 1.260 states/eV per atom

A relaxed PaAlCrRu crystal. Source: the Alexandria database, functional PBE. Values from VASP.

Geometry as Quantum ESPRESSO input:
```
&SYSTEM
  ibrav = 0, nat = 4, ntyp = 4
/
ATOMIC_SPECIES
Ru 101.07 Ru.upf
Cr 52.00 Cr.upf
Pa 231.04 Pa.upf
Al 26.98 Al.upf
CELL_PARAMETERS angstrom
4.5719 0.0000 0.0000
2.2860 3.9594 0.0000
2.2860 1.3198 3.7330
ATOMIC_POSITIONS crystal
Ru 0.5000 0.5000 0.5000
Cr 0.0000 0.0000 0.0000
Pa 0.2500 0.2500 0.2500
Al 0.7500 0.7500 0.7500
```

Output
**DFT formation energy**: -0.2566 eV per atom
**SG**: F-43m
**Density of states at the Fermi level**: 0.711 states/eV per atom

A relaxed AlCr2Pb crystal. Source: the Alexandria database, functional PBE. Values from VASP.

Geometry as Quantum ESPRESSO input:
```
&SYSTEM
  ibrav = 0, nat = 4, ntyp = 3
/
ATOMIC_SPECIES
Al 26.98 Al.upf
Cr 52.00 Cr.upf
Pb 207.20 Pb.upf
CELL_PARAMETERS angstrom
4.8459 -0.0172 -0.0120
-1.1065 4.7179 -0.0120
0.0069 0.0086 3.0702
ATOMIC_POSITIONS crystal
Al 0.0000 0.5000 0.5000
Cr 0.0000 0.0000 0.0000
Cr 0.5000 0.5000 0.0000
Pb 0.5000 0.0000 0.5000
```

Output
**DFT formation energy**: 0.5201 eV per atom
**SG**: Cmmm
**Density of states at the Fermi level**: 0.734 states/eV per atom

A relaxed AlCrPb2 crystal. Source: the Alexandria database, functional PBE. Values from VASP.

Geometry as Quantum ESPRESSO input:
```
&SYSTEM
  ibrav = 0, nat = 8, ntyp = 3
/
ATOMIC_SPECIES
Al 26.98 Al.upf
Pb 207.20 Pb.upf
Cr 52.00 Cr.upf
CELL_PARAMETERS angstrom
-0.1120 -6.6457 -4.3516
7.0849 1.8846 -3.0605
4.9225 -3.9491 -1.3475
ATOMIC_POSITIONS crystal
Al 0.2500 0.7500 0.5000
Al 0.5000 0.5000 0.0000
Pb 0.6217 0.1250 0.2500
Pb 0.3750 0.3783 0.7500
Pb 0.1283 0.6250 0.2500
Pb 0.8750 0.8717 0.7500
Cr 0.7500 0.2500 0.5000
Cr 0.0000 0.0000 0.0000
```

Output
**DFT formation energy**: 0.5781 eV per atom
**SG**: I-42d
**Density of states at the Fermi level**: 0.649 states/eV per atom